No. 1
## NaNdLu2 (PBE)

Data for a relaxed structure of NaNdLu2.

abc: 3.498 3.498 12.748
angles: 82.11 82.11 60.00
Positions (direct):
1 Na 0.000 0.000 0.000
2 Lu 0.092 0.092 0.725
3 Lu 0.908 0.908 0.275
4 Nd 0.500 0.500 0.500

Size of the total moment   0.0 μB/f.u.
ΔE to the lowest computed polymorph   0.034 eV/atom

No. 2
## MgMoPb3 (PBE)

Data for a relaxed structure of MgMoPb3.

abc: 5.437 5.437 5.437
angles: 90.00 90.00 90.00
Last column: magnetic moment on the atom in μB.
Positions (direct):
1 Pb 0.000 0.500 0.000  -0.04
2 Pb 0.000 0.000 0.500  -0.01
3 Pb 0.500 0.000 0.000  -0.04
4 Mo 0.500 0.500 0.500  3.64
5 Mg 0.000 0.000 0.000  0.01

Size of the total moment   4.3 μB/f.u.
ΔE to the lowest computed polymorph   0.644 eV/atom

No. 3
## BaIn2SnAu4 (PBE)

Data for a relaxed structure of BaIn2SnAu4.

abc: 4.696 4.696 10.901
angles: 77.56 77.56 60.00
Positions (direct):
1 Ba 0.000 0.000 0.000
2 In 0.756 0.756 0.732
3 In 0.244 0.244 0.268
4 Sn 0.500 0.500 0.500
5 Au 0.399 0.399 0.803
6 Au 0.872 0.872 0.385
7 Au 0.128 0.128 0.615
8 Au 0.601 0.601 0.197

Size of the total moment   0.0 μB/f.u.

No. 4
## CaAcGdY (PBE)

Data for a relaxed structure of CaAcGdY.

abc: 5.954 5.954 5.954
angles: 60.00 60.00 60.00
Last column: magnetic moment on the atom in μB.
Positions (direct):
1 Y 0.500 0.500 0.500  0.07
2 Ac 0.250 0.250 0.250  0.10
3 Gd 0.000 0.000 0.000  7.21
4 Ca 0.750 0.750 0.750  0.01

Size of the total moment   8.0 μB/f.u.

No. 5
## Tm12H5Ir3 (PBE)

Data for a relaxed structure of Tm12H5Ir3.

abc: 12.865 12.865 12.865
angles: 109.47 109.47 109.47
Positions (direct):
1 H 0.125 0.375 0.250
2 H 0.000 0.500 0.000
3 H 0.000 0.000 0.000
4 H 0.375 0.250 0.125
5 H 0.500 0.000 0.500
6 H 0.500 0.500 0.000
7 H 0.125 0.750 0.375
8 H 0.750 0.125 0.875
9 H 0.750 0.625 0.375
10 H 0.375 0.125 0.750
11 H 0.625 0.875 0.250
12 H 0.500 0.500 0.500
13 H 0.500 0.000 0.000
14 H 0.000 0.000 0.500
15 H 0.250 0.375 0.625
16 H 0.250 0.875 0.125
17 H 0.000 0.500 0.500
18 H 0.875 0.250 0.625
19 H 0.625 0.750 0.875
20 H 0.875 0.625 0.750
21 Ir 0.750 0.375 0.125
22 Ir 0.875 0.750 0.125
23 Ir 0.375 0.750 0.625
24 Ir 0.250 0.125 0.375
25 Ir 0.875 0.125 0.250
26 Ir 0.375 0.625 0.250
27 Ir 0.625 0.375 0.750
28 Ir 0.125 0.875 0.750
29 Ir 0.750 0.875 0.625
30 Ir 0.625 0.250 0.375
31 Ir 0.125 0.250 0.875
32 Ir 0.250 0.625 0.875
33 Tm 0.717 0.122 0.027
34 Tm 0.310 0.527 0.405
35 Tm 0.973 0.378 0.283
36 Tm 0.527 0.217 0.122
37 Tm 0.595 0.717 0.690
38 Tm 0.973 0.595 0.190
39 Tm 0.310 0.783 0.405
40 Tm 0.095 0.905 0.122
41 Tm 0.595 0.973 0.690
42 Tm 0.717 0.595 0.190
43 Tm 0.783 0.473 0.378
44 Tm 0.810 0.905 0.027
45 Tm 0.122 0.717 0.527
46 Tm 0.378 0.405 0.095
47 Tm 0.095 0.905 0.378
48 Tm 0.405 0.122 0.595
49 Tm 0.095 0.190 0.217
50 Tm 0.473 0.690 0.095
51 Tm 0.810 0.905 0.283
52 Tm 0.122 0.405 0.095
53 Tm 0.378 0.973 0.783
54 Tm 0.595 0.622 0.405
55 Tm 0.905 0.810 0.527
56 Tm 0.783 0.310 0.905
57 Tm 0.405 0.378 0.595
58 Tm 0.095 0.190 0.473
59 Tm 0.217 0.690 0.095
60 Tm 0.190 0.095 0.717
61 Tm 0.622 0.027 0.217
62 Tm 0.878 0.595 0.905
63 Tm 0.527 0.310 0.905
64 Tm 0.595 0.878 0.405
65 Tm 0.905 0.810 0.783
66 Tm 0.905 0.095 0.622
67 Tm 0.878 0.283 0.473
68 Tm 0.190 0.095 0.973
69 Tm 0.622 0.595 0.905
70 Tm 0.405 0.027 0.310
71 Tm 0.283 0.405 0.810
72 Tm 0.217 0.527 0.622
73 Tm 0.905 0.095 0.878
74 Tm 0.690 0.217 0.595
75 Tm 0.473 0.783 0.878
76 Tm 0.027 0.405 0.810
77 Tm 0.405 0.283 0.310
78 Tm 0.027 0.622 0.717
79 Tm 0.690 0.473 0.595
80 Tm 0.283 0.878 0.973

Size of the total moment   0.0 μB/f.u.

No. 6
## Nd3SbI3 (PBE)

Data for a relaxed structure of Nd3SbI3.

abc: 7.599 7.599 12.468
angles: 72.26 72.26 60.00
Positions (direct):
1 Nd 0.951 0.281 0.147
2 Nd 0.621 0.951 0.147
3 Nd 0.281 0.621 0.147
4 Nd 0.719 0.379 0.853
5 Nd 0.379 0.049 0.853
6 Nd 0.049 0.719 0.853
7 Sb 0.667 0.667 0.000
8 Sb 0.333 0.333 0.000
9 I 0.230 0.893 0.321
10 I 0.556 0.230 0.321
11 I 0.893 0.556 0.321
12 I 0.107 0.444 0.679
13 I 0.444 0.770 0.679
14 I 0.770 0.107 0.679

Size of the total moment   0.0 μB/f.u.
E_form (uncorrected)   -1.169 eV/atom

No. 7
## H2AuSe (PBE)

Data for a relaxed structure of H2AuSe.

abc: 4.023 4.023 4.023
angles: 60.00 60.00 60.00
Positions (direct):
1 H 0.250 0.250 0.250
2 H 0.750 0.750 0.750
3 Au 0.500 0.500 0.500
4 Se 0.000 0.000 0.000

Size of the total moment   0.0 μB/f.u.
ΔE to the lowest computed polymorph   0.874 eV/atom

No. 8
## InSi2Se (PBE)

Data for a relaxed structure of InSi2Se.

abc: 5.462 5.462 5.462
angles: 143.36 122.26 70.36
Positions (direct):
1 In 0.750 0.250 0.500
2 Se 0.250 0.750 0.500
3 Si 0.022 0.022 0.000
4 Si 0.478 0.478 0.000

Size of the total moment   0.0 μB/f.u.
E_form (uncorrected)   0.420 eV/atom

No. 9
## LiNd2AlZn6 (PBE)

Data for a relaxed structure of LiNd2AlZn6.

abc: 6.577 6.542 6.498
angles: 59.44 61.40 89.37
Positions (direct):
1 Li 0.500 0.500 0.000
2 Nd 0.421 0.809 0.384
3 Nd 0.579 0.191 0.616
4 Al 0.000 0.000 0.000
5 Zn 0.125 0.622 0.210
6 Zn 0.869 0.668 0.961
7 Zn 0.134 0.169 0.496
8 Zn 0.875 0.378 0.790
9 Zn 0.131 0.332 0.039
10 Zn 0.866 0.831 0.504

Size of the total moment   0.0 μB/f.u.

No. 10
## CaCdPt2 (PBE)

Data for a relaxed structure of CaCdPt2.

abc: 6.331 6.331 7.679
angles: 65.66 65.66 90.00
Positions (direct):
1 Ca 0.500 0.500 0.000
2 Ca 0.250 0.750 0.500
3 Pt 0.645 0.125 0.250
4 Pt 0.105 0.625 0.250
5 Pt 0.375 0.355 0.750
6 Pt 0.875 0.895 0.750
7 Cd 0.000 0.000 0.000
8 Cd 0.750 0.250 0.500

Size of the total moment   0.0 μB/f.u.

No. 11
## TaNi2Ru (PBE)

Data for a relaxed structure of TaNi2Ru.

abc: 4.645 4.645 4.645
angles: 132.64 132.69 69.18
Positions (direct):
1 Ru 0.750 0.250 0.500
2 Ni 0.000 0.000 0.000
3 Ni 0.500 0.500 0.000
4 Ta 0.250 0.750 0.500

Size of the total moment   0.0 μB/f.u.
ΔE to the lowest computed polymorph   0.056 eV/atom

No. 12
## Na2HgBi (PBE)

Data for a relaxed structure of Na2HgBi.

abc: 3.576 3.576 10.551
angles: 80.24 80.24 60.00
Positions (direct):
1 Na 0.082 0.082 0.753
2 Na 0.251 0.251 0.247
3 Hg 0.667 0.667 0.000
4 Bi 0.500 0.500 0.500

Size of the total moment   0.0 μB/f.u.

No. 13
## ScCrIn2 (PBE)

Data for a relaxed structure of ScCrIn2.

abc: 5.719 5.719 5.719
angles: 142.53 131.83 62.58
Last column: magnetic moment on the atom in μB.
Positions (direct):
1 Cr 0.254 0.754 0.500  3.27
2 In 0.006 0.006 0.000  -0.06
3 In 0.751 0.251 0.500  -0.08
4 Sc 0.489 0.489 0.000  -0.18

Size of the total moment   3.1 μB/f.u.
ΔE to the lowest computed polymorph   0.107 eV/atom

No. 14
## AcScAg2Te4 (PBE)

Data for a relaxed structure of AcScAg2Te4.

abc: 7.510 6.958 6.958
angles: 69.62 57.34 57.34
Positions (direct):
1 Ac 0.000 0.000 0.000
2 Sc 0.500 0.500 0.500
3 Ag 0.166 0.334 0.334
4 Ag 0.834 0.666 0.666
5 Te 0.473 0.104 0.528
6 Te 0.105 0.896 0.472
7 Te 0.895 0.528 0.104
8 Te 0.527 0.472 0.896

Size of the total moment   0.0 μB/f.u.
E_form (uncorrected)   -0.781 eV/atom

No. 15
## Tb6PmTm8 (PBE)

Data for a relaxed structure of Tb6PmTm8.

abc: 6.428 9.375 9.375
angles: 120.00 90.00 90.00
Positions (direct):
1 Tb 0.588 0.682 0.099
2 Tb 0.588 0.901 0.583
3 Tb 0.588 0.417 0.318
4 Tb 0.412 0.318 0.901
5 Tb 0.412 0.099 0.417
6 Tb 0.412 0.583 0.682
7 Pm 0.500 0.000 0.000
8 Tm 0.907 0.976 0.314
9 Tm 0.907 0.686 0.662
10 Tm 0.907 0.338 0.024
11 Tm 0.093 0.024 0.686
12 Tm 0.093 0.314 0.338
13 Tm 0.093 0.662 0.976
14 Tm 0.843 0.333 0.667
15 Tm 0.157 0.667 0.333

Size of the total moment   0.0 μB/f.u.

No. 16
## MnSiTe2 (PBE)

Data for a relaxed structure of MnSiTe2.

abc: 4.234 4.234 7.217
angles: 80.86 80.86 49.77
Last column: magnetic moment on the atom in μB.
Positions (direct):
1 Mn 0.499 0.499 0.598  1.43
2 Si 0.786 0.786 0.646  -0.08
3 Te 0.991 0.991 0.885  -0.05
4 Te 0.225 0.225 0.370  -0.07

Size of the total moment   1.1 μB/f.u.
E_form (uncorrected)   0.045 eV/atom

No. 17
## Pm2MnGe4Pd3 (PBE)

Data for a relaxed structure of Pm2MnGe4Pd3.

abc: 4.248 4.248 10.570
angles: 90.00 90.00 90.00
Last column: magnetic moment on the atom in μB.
Positions (direct):
1 Pm 0.500 0.000 0.249  0.01
2 Pm 0.000 0.500 0.751  0.01
3 Mn 0.500 0.500 0.500  3.36
4 Ge 0.500 0.500 0.000  0.00
5 Ge 0.000 0.000 0.000  0.01
6 Ge 0.500 0.000 0.633  -0.08
7 Ge 0.000 0.500 0.367  -0.08
8 Pd 0.000 0.000 0.500  0.04
9 Pd 0.500 0.000 0.868  -0.02
10 Pd 0.000 0.500 0.132  -0.02

Size of the total moment   3.4 μB/f.u.

No. 18
## CaSc2BiH (PBE)

Data for a relaxed structure of CaSc2BiH.

abc: 4.597 4.597 4.943
angles: 90.00 90.00 90.00
Last column: magnetic moment on the atom in μB.
Positions (direct):
1 Sc 0.000 0.500 0.000  0.61
2 Sc 0.500 0.000 0.000  0.61
3 H 0.000 0.000 0.000  -0.01
4 Ca 0.000 0.000 0.500  0.12
5 Bi 0.500 0.500 0.500  -0.02

Size of the total moment   2.2 μB/f.u.
ΔE to the lowest computed polymorph   0.000 eV/atom

No. 19
## Sr2AgPt (PBE)

Data for a relaxed structure of Sr2AgPt.

abc: 6.757 6.757 6.757
angles: 146.58 137.36 55.23
Positions (direct):
1 Ag 0.441 0.441 0.000
2 Pt 0.264 0.764 0.500
3 Sr 0.042 0.042 0.000
4 Sr 0.753 0.253 0.500

Size of the total moment   0.0 μB/f.u.
ΔE to the lowest computed polymorph   0.180 eV/atom

No. 20
## Rb2PuCdF6 (PBE)

Data for a relaxed structure of Rb2PuCdF6.

abc: 6.903 7.910 9.544
angles: 90.00 90.00 90.00
Last column: magnetic moment on the atom in μB.
Positions (direct):
1 Rb 0.500 0.743 0.268  0.00
2 Rb 0.000 0.257 0.768  0.00
3 Rb 0.500 0.743 0.732  0.00
4 Rb 0.000 0.257 0.232  0.00
5 Pu 0.000 0.622 0.500  4.21
6 Pu 0.500 0.378 0.000  4.21
7 Cd 0.500 0.184 0.500  -0.05
8 Cd 0.000 0.816 0.000  -0.05
9 F 0.500 0.384 0.226  -0.03
10 F 0.500 0.384 0.774  -0.03
11 F 0.000 0.616 0.274  -0.03
12 F 0.000 0.616 0.726  -0.03
13 F 0.241 0.800 0.500  -0.02
14 F 0.759 0.800 0.500  -0.02
15 F 0.204 0.414 0.500  -0.03
16 F 0.796 0.414 0.500  -0.03
17 F 0.704 0.586 0.000  -0.03
18 F 0.296 0.586 0.000  -0.03
19 F 0.259 0.200 0.000  -0.02
20 F 0.741 0.200 0.000  -0.02

Size of the total moment   3.9 μB/f.u.
E_form (uncorrected)   -2.780 eV/atom

Number 1: calculated total energy -3.57 eV per atom. Number 2: calculated total energy -3.58 eV per atom. Number 3: calculated total energy -3.41 eV per atom. Number 4: calculated total energy -6.52 eV per atom. Number 5: calculated total energy -5.36 eV per atom. Number 6: calculated total energy -4.47 eV per atom. Number 7: calculated total energy -2.39 eV per atom. Number 8: calculated total energy -3.85 eV per atom. Number 9: calculated total energy -2.44 eV per atom. Number 10: calculated total energy -3.59 eV per atom. Number 11: calculated total energy -8.44 eV per atom. Number 12: calculated total energy -1.91 eV per atom. Number 13: calculated total energy -5.30 eV per atom. Number 14: calculated total energy -4.37 eV per atom. Number 15: calculated total energy -4.32 eV per atom. Number 16: calculated total energy -5.17 eV per atom. Number 17: calculated total energy -5.98 eV per atom. Number 18: calculated total energy -4.71 eV per atom. Number 19: calculated total energy -3.48 eV per atom. Number 20: calculated total energy -5.62 eV per atom.